# 1
DFT (SCAN) results for a PBEsol-optimized structure of ZnGeF3.

Properties
* relative energy among the computed polymorphs: 0 meV/atom
* energy relative to the elements, uncorrected: -1602 meV per atom
* magnetization: 0.001 μB/f.u.

Cell and atoms, written as POSCAR:
```
ZnGeF3
1.0
4.0364 0.0000 0.0000
0.0000 4.0364 0.0000
0.0000 0.0000 4.0364
Ge Zn F
1 1 3
direct
0.5000 0.5000 0.5000 Ge
0.0000 0.0000 0.0000 Zn
0.0000 0.5000 0.0000 F
0.5000 0.0000 0.0000 F
0.0000 0.0000 0.5000 F
```



# 2
DFT (SCAN) results for a PBEsol-optimized structure of TlTe2Pb.

Properties
* energy relative to the elements, uncorrected: -250 meV per atom
* magnetization: 0.000 μB/f.u.

Cell and atoms, written as POSCAR:
```
TlTe2Pb
1.0
-4.0321 -1.5994 1.1605
0.3160 -3.1249 -3.2090
2.7791 -3.9891 4.1583
Pb Te Tl
1 2 1
direct
0.5000 0.5000 0.8750 Pb
0.5000 0.5000 0.3755 Te
0.0000 0.0000 0.8750 Te
0.0000 0.0000 0.3745 Tl
```



# 3
DFT (SCAN) results for a PBEsol-optimized structure of AsCSCl2F9.

Properties
* energy relative to the elements, uncorrected: -1613 meV per atom
* magnetization: 0.000 μB/f.u.

Cell and atoms, written as POSCAR:
```
AsCSCl2F9
1.0
-7.5927 -1.1046 0.1437
1.1007 -6.7158 6.5366
1.2160 8.5417 8.5712
F As Cl C S
36 4 8 4 4
direct
0.2315 0.8211 0.9424 F
0.8566 0.1778 0.3067 F
0.3241 0.1117 0.0188 F
0.6759 0.6117 0.4812 F
0.4346 0.2989 0.1110 F
0.1434 0.6778 0.1933 F
0.1434 0.8222 0.6933 F
0.7685 0.1789 0.0576 F
0.4062 0.7055 0.6366 F
0.7339 0.0826 0.4676 F
0.5016 0.0882 0.1800 F
0.5938 0.2055 0.8634 F
0.8869 0.4167 0.3949 F
0.4346 0.2011 0.6110 F
0.8566 0.3222 0.8067 F
0.5654 0.7989 0.3890 F
0.4062 0.7945 0.1366 F
0.7685 0.3211 0.5576 F
0.5016 0.4118 0.6800 F
0.5938 0.2945 0.3634 F
0.0283 0.2924 0.9994 F
0.6759 0.8883 0.9812 F
0.1131 0.9167 0.1051 F
0.1131 0.5833 0.6051 F
0.2661 0.5826 0.0324 F
0.2661 0.9174 0.5324 F
0.7339 0.4174 0.9676 F
0.3241 0.3883 0.5188 F
0.0283 0.2076 0.4994 F
0.2315 0.6789 0.4424 F
0.4984 0.9118 0.8200 F
0.8869 0.0833 0.8949 F
0.9717 0.7076 0.0006 F
0.9717 0.7924 0.5006 F
0.5654 0.7011 0.8890 F
0.4984 0.5882 0.3200 F
0.1918 0.7507 0.5683 As
0.8082 0.2507 0.9317 As
0.1918 0.7493 0.0683 As
0.8082 0.2493 0.4317 As
0.2591 0.4354 0.8301 Cl
0.7409 0.5646 0.1699 Cl
0.8219 0.6286 0.7608 Cl
0.8219 0.8714 0.2608 Cl
0.2591 0.0646 0.3301 Cl
0.1781 0.1286 0.7392 Cl
0.1781 0.3714 0.2392 Cl
0.7409 0.9354 0.6699 Cl
0.6209 0.8325 0.8811 C
0.3791 0.3325 0.6189 C
0.6209 0.6675 0.3811 C
0.3791 0.1675 0.1189 C
0.8338 0.8285 0.8077 S
0.1662 0.3285 0.6923 S
0.1662 0.1715 0.1923 S
0.8338 0.6715 0.3077 S
```



# 4
DFT (SCAN) results for a PBEsol-optimized structure of ZnReN2O.

Properties
* energy relative to the elements, uncorrected: 1640 meV per atom
* magnetization: 2.013 μB/f.u.

Cell and atoms, written as POSCAR:
```
ZnReN2O
1.0
-1.7567 -0.2533 3.1854
-1.5404 -3.2496 -1.1080
2.9156 -1.8794 1.4585
O Zn Re N
1 1 1 2
direct
0.5000 0.0000 0.0000 O
0.0000 0.0000 0.0000 Zn
0.5000 0.5000 0.5000 Re
0.0000 0.0000 0.5000 N
0.0000 0.5000 0.0000 N
```



# 5
DFT (SCAN) results for a PBEsol-optimized structure of Mo2Br.

Properties
* relative energy among the computed polymorphs: 764 meV/atom
* energy relative to the elements, uncorrected: 1744 meV per atom
* magnetization: 0.000 μB/f.u.

Cell and atoms, written as POSCAR:
```
Mo2Br
1.0
-4.1243 -0.0672 0.4910
-2.1610 -3.3903 -1.0446
-1.7014 -2.3711 2.9561
Br Mo
1 2
direct
0.0000 0.0000 0.0000 Br
0.2500 0.2500 0.2500 Mo
0.7500 0.7500 0.7500 Mo
```



# 6
DFT (SCAN) results for a PBEsol-optimized structure of NaHfBi2S.

Properties
* energy relative to the elements, uncorrected: 137 meV per atom
* magnetization: 0.000 μB/f.u.

Cell and atoms, written as POSCAR:
```
NaHfBi2S
1.0
-3.4902 -0.4126 3.0556
2.3386 -4.6704 2.0406
2.8835 3.0637 3.7074
Hf Bi Na S
1 2 1 1
direct
0.5000 0.0000 0.0000 Hf
0.0000 0.5000 0.0000 Bi
0.0000 0.0000 0.5000 Bi
0.5000 0.5000 0.5000 Na
0.0000 0.0000 0.0000 S
```



# 7
DFT (SCAN) results for a PBEsol-optimized structure of Ce3Ge13Ir4.

Properties
* ΔE_f: -0.62 eV per atom
* magnetization: 0.007 μB/f.u.

Cell and atoms, written as POSCAR:
```
Ce3Ge13Ir4
1.0
-8.2368 3.3398 -1.1409
-3.0447 -5.2597 6.5853
1.7847 6.4407 5.9694
Ge Ir Ce
26 8 6
direct
0.5000 0.5000 0.5000 Ge
0.0000 0.8556 0.3092 Ge
0.3092 0.0000 0.8556 Ge
0.0000 0.1444 0.3092 Ge
0.5000 0.1908 0.3556 Ge
0.0000 0.8556 0.6908 Ge
0.6908 0.0000 0.1444 Ge
0.3556 0.5000 0.1908 Ge
0.8556 0.3092 0.0000 Ge
0.8092 0.6444 0.5000 Ge
0.5000 0.8092 0.6444 Ge
0.3556 0.5000 0.8092 Ge
0.8556 0.6908 0.0000 Ge
0.6444 0.5000 0.8092 Ge
0.5000 0.1908 0.6444 Ge
0.5000 0.8092 0.3556 Ge
0.6444 0.5000 0.1908 Ge
0.1444 0.3092 0.0000 Ge
0.0000 0.1444 0.6908 Ge
0.1444 0.6908 0.0000 Ge
0.6908 0.0000 0.8556 Ge
0.0000 0.0000 0.0000 Ge
0.1908 0.3556 0.5000 Ge
0.8092 0.3556 0.5000 Ge
0.3092 0.0000 0.1444 Ge
0.1908 0.6444 0.5000 Ge
0.7500 0.2500 0.7500 Ir
0.2500 0.7500 0.7500 Ir
0.2500 0.7500 0.2500 Ir
0.7500 0.7500 0.7500 Ir
0.2500 0.2500 0.2500 Ir
0.7500 0.7500 0.2500 Ir
0.2500 0.2500 0.7500 Ir
0.7500 0.2500 0.2500 Ir
0.0000 0.5000 0.2500 Ce
0.5000 0.2500 0.0000 Ce
0.5000 0.7500 0.0000 Ce
0.0000 0.5000 0.7500 Ce
0.2500 0.0000 0.5000 Ce
0.7500 0.0000 0.5000 Ce
```



# 8
DFT (SCAN) results for a PBEsol-optimized structure of CdAu.

Properties
* ΔE_f: -0.23 eV per atom
* magnetization: 0.000 μB/f.u.

Cell and atoms, written as POSCAR:
```
CdAu
1.0
-0.9291 2.4095 -1.5260
-1.4776 -2.8232 -3.5582
-4.5480 -0.3711 2.1830
Au Cd
2 2
direct
0.0000 0.7500 0.6822 Au
0.0000 0.2500 0.3178 Au
0.5000 0.7500 0.1870 Cd
0.5000 0.2500 0.8130 Cd
```



# 9
DFT (SCAN) results for a PBEsol-optimized structure of Ta2CrOs.

Properties
* ΔE_f: -0.14 eV per atom
* relative energy among the computed polymorphs: 281 meV/atom
* magnetization: 0.000 μB/f.u.

Cell and atoms, written as POSCAR:
```
Ta2CrOs
1.0
-2.4383 -1.7301 0.8732
2.3137 -3.7340 -0.9376
1.5621 2.6504 4.0583
Os Ta Cr
1 2 1
direct
0.0000 0.5000 0.0000 Os
0.7544 0.7544 0.5089 Ta
0.2456 0.2456 0.4911 Ta
0.5000 0.0000 0.0000 Cr
```



# 10
DFT (SCAN) results for a PBEsol-optimized structure of Mg2AsCl.

Properties
* relative energy among the computed polymorphs: 575 meV/atom
* energy relative to the elements, uncorrected: -49 meV per atom
* magnetization: 0.000 μB/f.u.

Cell and atoms, written as POSCAR:
```
Mg2AsCl
1.0
4.8694 0.0000 0.0000
2.4347 4.2170 0.0000
2.4347 1.4057 3.9759
As Cl Mg
1 1 2
direct
0.5000 0.5000 0.5000 As
0.2500 0.2500 0.2500 Cl
0.7500 0.7500 0.7500 Mg
0.0000 0.0000 0.0000 Mg
```



# 11
DFT (SCAN) results for a PBEsol-optimized structure of ZrGa3Pt.

Properties
* ΔE_f: 0.05 eV per atom
* magnetization: 0.000 μB/f.u.

Cell and atoms, written as POSCAR:
```
ZrGa3Pt
1.0
-3.6742 1.0857 2.7086
-2.9046 -1.7801 -3.2264
0.2810 -4.2033 2.0661
Ga Zr Pt
3 1 1
direct
0.0000 0.5000 0.0000 Ga
0.5000 0.0000 0.0000 Ga
0.0000 0.0000 0.5000 Ga
0.5000 0.5000 0.5000 Zr
0.0000 0.0000 0.0000 Pt
```



# 12
DFT (SCAN) results for a PBEsol-optimized structure of SbTeW.

Properties
* relative energy among the computed polymorphs: 0 meV/atom
* energy relative to the elements, uncorrected: 370 meV per atom
* magnetization: 0.000 μB/f.u.

Cell and atoms, written as POSCAR:
```
SbTeW
1.0
-0.6943 1.4989 2.7861
1.1063 -2.5573 1.6515
5.7775 3.1648 -2.1457
Te Sb W
1 1 1
direct
0.7062 0.7062 0.4125 Te
0.9651 0.9651 0.9302 Sb
0.3287 0.3287 0.6573 W
```



# 13
DFT (SCAN) results for a PBEsol-optimized structure of YBe2Ni.

Properties
* ΔE_f: -0.29 eV per atom
* relative energy among the computed polymorphs: 24 meV/atom
* magnetization: 0.107 μB/f.u.

Cell and atoms, written as POSCAR:
```
YBe2Ni
1.0
-1.3658 3.5053 -0.1394
0.1639 -2.0824 -3.1379
-3.9697 -1.4289 2.9634
Y Be Ni
1 2 1
direct
0.7508 0.5016 0.2542 Y
0.2458 0.4917 0.7365 Be
0.9410 0.8819 0.8231 Be
0.5624 0.1248 0.6862 Ni
```



# 14
DFT (SCAN) results for a PBEsol-optimized structure of MgTiHgRu2.

Properties
* ΔE_f: 1.63 eV per atom
* magnetization: 0.638 μB/f.u.

Cell and atoms, written as POSCAR:
```
MgTiHgRu2
1.0
4.7546 0.0000 0.0000
0.0000 4.9112 0.0000
0.0000 0.0000 4.9112
Ru Ti Mg Hg
2 1 1 1
direct
0.0000 0.5000 0.0000 Ru
0.0000 0.0000 0.5000 Ru
0.5000 0.0000 0.0000 Ti
0.5000 0.5000 0.5000 Mg
0.0000 0.0000 0.0000 Hg
```



# 15
DFT (SCAN) results for a PBEsol-optimized structure of TiCOF2.

Properties
* energy relative to the elements, uncorrected: -1132 meV per atom
* magnetization: 2.008 μB/f.u.

Cell and atoms, written as POSCAR:
```
TiCOF2
1.0
-2.9425 -0.7028 2.2517
1.3589 -3.6056 0.6503
2.0316 1.3188 3.0665
C F Ti O
1 2 1 1
direct
0.5000 0.5000 0.5000 C
0.0000 0.5000 0.0000 F
0.0000 0.0000 0.5000 F
0.0000 0.0000 0.0000 Ti
0.5000 0.0000 0.0000 O
```



# 16
DFT (SCAN) results for a PBEsol-optimized structure of ZnCu2Br.

Properties
* relative energy among the computed polymorphs: 0 meV/atom
* energy relative to the elements, uncorrected: 54 meV per atom
* magnetization: 0.000 μB/f.u.

Cell and atoms, written as POSCAR:
```
ZnCu2Br
1.0
4.0432 0.0000 0.0000
-2.0216 3.6112 0.1174
0.0000 -0.5732 5.2865
Cu Br Zn
2 1 1
direct
0.1686 0.3371 0.4077 Cu
0.8314 0.6629 0.5923 Cu
0.0000 0.0000 0.0000 Br
0.5000 0.0000 0.5000 Zn
```



# 17
DFT (SCAN) results for a PBEsol-optimized structure of CaTa2Pb.

Properties
* ΔE_f: 0.49 eV per atom
* magnetization: 0.000 μB/f.u.

Cell and atoms, written as POSCAR:
```
CaTa2Pb
1.0
-0.2715 -4.1259 0.3547
1.9703 0.1839 3.6478
-4.2985 0.4804 2.2975
Pb Ta Ca
1 2 1
direct
0.0000 0.0000 0.5000 Pb
0.0000 0.5000 0.0000 Ta
0.5000 0.0000 0.0000 Ta
0.5000 0.5000 0.5000 Ca
```



# 18
DFT (SCAN) results for a PBEsol-optimized structure of Ho3Si11Pt23.

Properties
* energy relative to the elements, uncorrected: -1031 meV per atom
* magnetization: 0.000 μB/f.u.

Cell and atoms, written as POSCAR:
```
Ho3Si11Pt23
1.0
11.8694 0.0000 0.0000
5.9347 10.2792 0.0000
5.9347 3.4264 9.6913
Ho Si Pt
6 22 46
direct
0.0000 0.5000 0.0000 Ho
0.5000 0.0000 0.5000 Ho
0.0000 0.5000 0.5000 Ho
0.5000 0.0000 0.0000 Ho
0.0000 0.0000 0.5000 Ho
0.5000 0.5000 0.0000 Ho
0.8290 0.1710 0.1710 Si
0.1710 0.8290 0.8290 Si
0.6063 0.6063 0.6063 Si
0.4962 0.8346 0.8346 Si
0.8346 0.8346 0.8346 Si
0.6063 0.6063 0.1812 Si
0.1812 0.6063 0.6063 Si
0.5038 0.1654 0.1654 Si
0.8346 0.4962 0.8346 Si
0.1710 0.1710 0.8290 Si
0.1710 0.8290 0.1710 Si
0.3937 0.3937 0.3937 Si
0.8290 0.8290 0.1710 Si
0.8290 0.1710 0.8290 Si
0.3937 0.8188 0.3937 Si
0.1654 0.5038 0.1654 Si
0.1654 0.1654 0.1654 Si
0.6063 0.1812 0.6063 Si
0.8346 0.8346 0.4962 Si
0.8188 0.3937 0.3937 Si
0.1654 0.1654 0.5038 Si
0.3937 0.3937 0.8188 Si
0.4213 0.0830 0.7479 Pt
0.9170 0.2521 0.5787 Pt
0.2521 0.5787 0.9170 Pt
0.9170 0.2521 0.2521 Pt
0.9249 0.6917 0.6917 Pt
0.3083 0.0751 0.3083 Pt
0.4213 0.7479 0.0830 Pt
0.2521 0.2521 0.9170 Pt
0.7479 0.7479 0.4213 Pt
0.6917 0.9249 0.6917 Pt
0.0751 0.3083 0.3083 Pt
0.9170 0.2490 0.9170 Pt
0.0830 0.4213 0.7479 Pt
0.3748 0.6252 0.3748 Pt
0.7479 0.0830 0.4213 Pt
0.7479 0.7479 0.0830 Pt
0.0830 0.7510 0.0830 Pt
0.0830 0.0830 0.0830 Pt
0.2490 0.9170 0.9170 Pt
0.6917 0.6917 0.6917 Pt
0.7479 0.4213 0.7479 Pt
0.2521 0.9170 0.5787 Pt
0.7510 0.0830 0.0830 Pt
0.5787 0.2521 0.9170 Pt
0.0830 0.7479 0.7479 Pt
0.9170 0.9170 0.9170 Pt
0.3748 0.3748 0.6252 Pt
0.3083 0.3083 0.3083 Pt
0.9170 0.9170 0.2490 Pt
0.6917 0.6917 0.9249 Pt
0.3083 0.3083 0.0751 Pt
0.5787 0.2521 0.2521 Pt
0.9170 0.5787 0.2521 Pt
0.2521 0.9170 0.2521 Pt
0.7479 0.0830 0.7479 Pt
0.6252 0.6252 0.3748 Pt
0.4213 0.7479 0.7479 Pt
0.3748 0.6252 0.6252 Pt
0.6252 0.3748 0.6252 Pt
0.0830 0.0830 0.7510 Pt
0.6252 0.3748 0.3748 Pt
0.5787 0.9170 0.2521 Pt
0.0830 0.7479 0.4213 Pt
0.2521 0.5787 0.2521 Pt
0.7479 0.4213 0.0830 Pt
0.2521 0.2521 0.5787 Pt
```



# 19
DFT (SCAN) results for a PBEsol-optimized structure of Mg2Sc.

Properties
* ΔE_f: 0.02 eV per atom
* magnetization: 0.000 μB/f.u.

Cell and atoms, written as POSCAR:
```
Mg2Sc
1.0
-4.9928 1.3317 -2.6064
-1.2916 -2.3260 -5.1398
-4.1974 -3.9634 -0.4100
Mg Sc
4 2
direct
0.6250 0.1250 0.1250 Mg
0.1250 0.6250 0.1250 Mg
0.1250 0.1250 0.1250 Mg
0.1250 0.1250 0.6250 Mg
0.5000 0.5000 0.5000 Sc
0.7500 0.7500 0.7500 Sc
```



# 20
DFT (SCAN) results for a PBEsol-optimized structure of Mg2SiTc.

Properties
* energy relative to the elements, uncorrected: 101 meV per atom
* magnetization: 0.551 μB/f.u.

Cell and atoms, written as POSCAR:
```
Mg2SiTc
1.0
2.8726 -0.0084 0.0000
-0.9985 2.6934 0.0000
0.0000 0.0000 8.7474
Si Tc Mg
1 1 2
direct
0.0000 0.0000 0.4694 Si
0.5000 0.5000 0.2763 Tc
0.5000 0.5000 0.7276 Mg
0.0000 0.0000 0.0268 Mg
```



In states/eV per atom, the DOS(E_F) values for the records above are, in order, 0.464 0.487 0.000 0.464 1.367 0.669 0.317 0.274 0.601 0.320 0.539 0.679 0.515 1.144 0.580 0.215 0.824 0.325 1.002 0.549.